LiEr4Ge4 after structural relaxation, computed with GGA-PBEsol.

Computed properties:
ρ	8.5	g cm⁻³
magnetic moment	0.00	μB per cell
electronic total energy	-5.47	eV/atom
ΔH_f (0 K)	-868	meV/atom
Fermi-level density of states	3.23	states/eV/f.u.

```
LiEr4Ge4
1.0
-2.500 4.477 -4.750
-6.853 -3.101 0.683
-3.173 9.313 10.449
Ge Er Li
16 16 4
direct
0.832 0.534 0.963 Ge
0.668 0.034 0.463 Ge
0.216 0.361 0.750 Ge
0.332 0.966 0.537 Ge
0.984 0.915 0.750 Ge
0.784 0.639 0.250 Ge
0.832 0.534 0.537 Ge
0.716 0.139 0.750 Ge
0.168 0.466 0.463 Ge
0.168 0.466 0.037 Ge
0.668 0.034 0.037 Ge
0.332 0.966 0.963 Ge
0.284 0.861 0.250 Ge
0.516 0.415 0.250 Ge
0.484 0.585 0.750 Ge
0.016 0.085 0.250 Ge
0.828 0.325 0.128 Er
0.328 0.175 0.128 Er
0.828 0.325 0.372 Er
0.986 0.814 0.403 Er
0.014 0.186 0.903 Er
0.486 0.686 0.097 Er
0.172 0.675 0.628 Er
0.672 0.825 0.628 Er
0.986 0.814 0.097 Er
0.486 0.686 0.403 Er
0.672 0.825 0.872 Er
0.328 0.175 0.372 Er
0.014 0.186 0.597 Er
0.514 0.314 0.903 Er
0.514 0.314 0.597 Er
0.172 0.675 0.872 Er
0.660 0.976 0.250 Li
0.160 0.524 0.250 Li
0.840 0.476 0.750 Li
0.340 0.024 0.750 Li
```